5
Lattice="3.8663 0.0000 0.0000 0.0000 3.8663 0.0000 0.0000 0.0000 7.6332" Properties=species:S:1:pos:R:3 comment="ZnSeIN2 | the Alexandria database | PBE-GGA | optimized geometry" relative_energy_mev_per_atom=0 dos_at_fermi_per_ev_cell=2.9 e_tot_ev_per_atom=-3.1836 e_form_raw_kj_per_mol_atoms=136 magnetic_moment_mub_per_cell=0.63 pbc="T T T"
I 0.0000 0.0000 3.8166
Zn 1.9331 1.9331 3.8166
Se 0.0000 0.0000 0.0000
N 0.0000 1.9331 0.0000
N 1.9331 0.0000 0.0000


5
Lattice="4.1382 0.0000 0.0000 0.0000 4.1382 0.0000 0.0000 0.0000 5.9024" Properties=species:S:1:pos:R:3 comment="ZnSeIN2 | the Alexandria database | PBE-GGA | optimized geometry" relative_energy_mev_per_atom=85 dos_at_fermi_per_ev_cell=2.9 e_tot_ev_per_atom=-3.0982 e_form_raw_kj_per_mol_atoms=144 magnetic_moment_mub_per_cell=4.19 pbc="T T T"
I 2.0691 2.0691 2.9512
Zn 0.0000 0.0000 0.0000
Se 0.0000 0.0000 2.9512
N 0.0000 2.0691 0.0000
N 2.0691 0.0000 0.0000


5
Lattice="-4.6649 2.6386 -1.2793 -2.5591 -4.8369 -0.6447 -1.0289 0.0348 3.8233" Properties=species:S:1:pos:R:3 comment="ZnSe2IN | the Alexandria database | PBE-GGA | optimized geometry" relative_energy_mev_per_atom=263 dos_at_fermi_per_ev_cell=4.4 e_tot_ev_per_atom=-2.3766 e_form_raw_kj_per_mol_atoms=120 magnetic_moment_mub_per_cell=0.00 pbc="T T T"
I 0.0000 0.0000 0.0000
Zn -4.1264 -1.0818 0.9497
Se -1.2795 -2.4185 -0.3223
Se -2.3324 1.3193 -0.6397
N -0.5144 0.0174 1.9117


5
Lattice="5.2919 0.0000 0.0000 0.0000 5.2919 0.0000 0.0000 0.0000 3.7374" Properties=species:S:1:pos:R:3 comment="ZnSe2IN | the Alexandria database | PBE-GGA | optimized geometry" relative_energy_mev_per_atom=0 dos_at_fermi_per_ev_cell=5.9 e_tot_ev_per_atom=-2.6394 e_form_raw_kj_per_mol_atoms=95 magnetic_moment_mub_per_cell=0.00 pbc="T T T"
I 2.6459 2.6459 1.8687
Zn 0.0000 0.0000 0.0000
Se 0.0000 2.6459 0.0000
Se 2.6459 0.0000 0.0000
N 0.0000 0.0000 1.8687


5
Lattice="4.1036 0.0000 0.0000 0.0000 4.1036 0.0000 0.0000 0.0000 6.5343" Properties=species:S:1:pos:R:3 comment="ZnSeIN2 | the Alexandria database | PBE-GGA | optimized geometry" relative_energy_mev_per_atom=143 dos_at_fermi_per_ev_cell=3.6 e_tot_ev_per_atom=-3.0410 e_form_raw_kj_per_mol_atoms=150 magnetic_moment_mub_per_cell=4.16 pbc="T T T"
I 0.0000 0.0000 3.2671
Zn 0.0000 0.0000 0.0000
Se 2.0518 2.0518 3.2671
N 0.0000 2.0518 0.0000
N 2.0518 0.0000 0.0000


5
Lattice="-3.5674 2.5909 -3.2150 2.0154 -2.6156 -4.3442 -2.6903 -3.0066 0.5621" Properties=species:S:1:pos:R:3 comment="ZrSe2IN | the Alexandria database | PBE-GGA | optimized geometry" relative_energy_mev_per_atom=0 dos_at_fermi_per_ev_cell=5.8 e_tot_ev_per_atom=-5.0008 e_form_raw_kj_per_mol_atoms=8 magnetic_moment_mub_per_cell=0.00 pbc="T T T"
I -2.1211 -1.5156 -3.4985
Se 1.0077 -1.3078 -2.1721
Se -1.7837 1.2955 -1.6075
Zr 0.0000 0.0000 0.0000
N -1.3451 -1.5033 0.2811


5
Lattice="5.4632 0.0000 0.0000 0.0000 5.4632 0.0000 0.0000 0.0000 3.8998" Properties=species:S:1:pos:R:3 comment="ZrSe2IN | the Alexandria database | PBE-GGA | optimized geometry" relative_energy_mev_per_atom=944 dos_at_fermi_per_ev_cell=4.7 e_tot_ev_per_atom=-4.0568 e_form_raw_kj_per_mol_atoms=99 magnetic_moment_mub_per_cell=1.59 pbc="T T T"
I 0.0000 0.0000 0.0000
Se 0.0000 2.7316 0.0000
Se 2.7316 0.0000 0.0000
Zr 2.7316 2.7316 1.9499
N 0.0000 0.0000 1.9499


5
Lattice="3.9402 0.0000 0.0000 0.0000 3.9402 0.0000 0.0000 0.0000 6.5691" Properties=species:S:1:pos:R:3 comment="SiI2N2 | the Alexandria database | PBE-GGA | optimized geometry" relative_energy_mev_per_atom=211 dos_at_fermi_per_ev_cell=2.5 e_tot_ev_per_atom=-3.6725 e_form_raw_kj_per_mol_atoms=131 magnetic_moment_mub_per_cell=0.00 pbc="T T T"
I 1.9701 1.9701 3.2845
I 0.0000 0.0000 3.2845
Si 0.0000 0.0000 0.0000
N 0.0000 1.9701 0.0000
N 1.9701 0.0000 0.0000


5
Lattice="4.3974 0.0000 0.0000 0.0000 4.3974 0.0000 0.0000 0.0000 4.3974" Properties=species:S:1:pos:R:3 comment="Si3IN | the Alexandria database | PBE-GGA | optimized geometry" relative_energy_mev_per_atom=0 dos_at_fermi_per_ev_cell=3.0 e_tot_ev_per_atom=-4.1589 e_form_raw_kj_per_mol_atoms=103 magnetic_moment_mub_per_cell=0.00 pbc="T T T"
I 2.1987 2.1987 2.1987
Si 0.0000 2.1987 0.0000
Si 0.0000 0.0000 2.1987
Si 2.1987 0.0000 0.0000
N 0.0000 0.0000 0.0000


5
Lattice="6.1347 0.0000 0.0000 0.0000 6.1347 0.0000 0.0000 0.0000 3.2259" Properties=species:S:1:pos:R:3 comment="SiI2N2 | the Alexandria database | PBE-GGA | optimized geometry" relative_energy_mev_per_atom=0 dos_at_fermi_per_ev_cell=2.0 e_tot_ev_per_atom=-3.8832 e_form_raw_kj_per_mol_atoms=111 magnetic_moment_mub_per_cell=2.77 pbc="T T T"
I 0.0000 3.0674 0.0000
I 3.0674 0.0000 0.0000
Si 0.0000 0.0000 0.0000
N 3.0674 3.0674 1.6129
N 0.0000 0.0000 1.6129


12
Lattice="-2.3895 2.6025 3.5238 -4.9473 -2.2874 -1.6655 1.2463 -7.1628 6.1353" Properties=species:S:1:pos:R:3 comment="SiIN | the Alexandria database | PBE-GGA | optimized geometry" dos_at_fermi_per_ev_cell=0.0 e_tot_ev_per_atom=-5.7912 e_form_raw_kj_per_mol_atoms=-67 magnetic_moment_mub_per_cell=0.00 pbc="T T T"
N -2.5785 1.6591 2.8427
N -3.8616 -8.1260 5.6665
N -3.8704 -6.2764 7.8276
N -2.5697 -0.1905 0.6816
I -0.6387 -1.1643 3.4285
I -6.2872 -4.7736 5.7970
I -2.6532 -4.9470 4.8563
I -4.2727 -0.9908 4.3692
Si -4.2356 1.1619 3.2020
Si -2.9591 -6.8070 6.4199
Si -5.6294 -6.1879 7.6851
Si -1.5653 0.5429 1.9368


5
Lattice="4.7317 0.0000 0.0000 0.0000 4.7317 0.0000 0.0000 0.0000 4.1078" Properties=species:S:1:pos:R:3 comment="SiI2N2 | the Alexandria database | PBE-GGA | optimized geometry" relative_energy_mev_per_atom=856 dos_at_fermi_per_ev_cell=2.8 e_tot_ev_per_atom=-3.0269 e_form_raw_kj_per_mol_atoms=194 magnetic_moment_mub_per_cell=0.00 pbc="T T T"
I 0.0000 2.3659 0.0000
I 2.3659 0.0000 0.0000
Si 2.3659 2.3659 2.0539
N 0.0000 0.0000 0.0000
N 0.0000 0.0000 2.0539


Copy entry 8 word for word.
5
Lattice="3.9402 0.0000 0.0000 0.0000 3.9402 0.0000 0.0000 0.0000 6.5691" Properties=species:S:1:pos:R:3 comment="SiI2N2 | the Alexandria database | PBE-GGA | optimized geometry" relative_energy_mev_per_atom=211 dos_at_fermi_per_ev_cell=2.5 e_tot_ev_per_atom=-3.6725 e_form_raw_kj_per_mol_atoms=131 magnetic_moment_mub_per_cell=0.00 pbc="T T T"
I 1.9701 1.9701 3.2845
I 0.0000 0.0000 3.2845
Si 0.0000 0.0000 0.0000
N 0.0000 1.9701 0.0000
N 1.9701 0.0000 0.0000